# 1
# AcHo6Er

Crystalline AcHo6Er at its relaxed geometry (GGA-PBE, Alexandria).

Lattice parameters (Å, degrees): 6.7522 6.7033 6.7970 82.68 60.43 83.90
Fractional positions:
Ho: 0.5493 0.7210 0.5432
Ho: 0.5233 0.7376 0.0415
Ho: 0.4507 0.2790 0.4568
Ho: 0.9504 0.2605 0.4791
Ho: 0.0496 0.7395 0.5209
Ho: 0.4767 0.2624 0.9585
Ac: 0.0000 0.0000 0.0000
Er: 0.0000 0.5000 0.0000

Results
For the electronic total energy, the calculation gives -4.29 eV per atom. The value obtained for the energy relative to the lowest polymorph listed for this composition is 0.176 eV/atom. The density of states at the Fermi level comes out at 12.954 states/eV per cell. The space group is P-1, No. 2. The value obtained for the mass density is 8.67 g/cm3.

# 2
# Ba2CdReN4

Crystalline Ba2CdReN4 at its relaxed geometry (GGA-PBE, Alexandria).

Lattice parameters (Å, degrees): 5.6174 6.5676 10.5387 83.46 74.54 64.68
Fractional positions:
N: 0.8395 0.8078 0.9012
N: 0.5486 0.1922 0.0988
N: 0.2593 0.1922 0.9012
N: 0.4907 0.3078 0.5988
N: 0.3973 0.6922 0.4012
N: 0.9105 0.6922 0.5988
N: 0.2014 0.3078 0.4012
N: 0.3527 0.8078 0.0988
Re: 0.2500 0.5000 0.5000
Re: 0.5000 0.0000 0.0000
Ba: 0.9291 0.5000 0.1418
Ba: 0.1791 0.0000 0.6418
Ba: 0.8209 0.0000 0.3582
Ba: 0.5709 0.5000 0.8582
Cd: 0.7500 0.5000 0.5000
Cd: 0.0000 0.0000 0.0000

Results
For the electronic total energy, the calculation gives -6.40 eV per atom. The density of states at the Fermi level comes out at 3.398 states/eV per cell. The space group is Fddd, No. 70. The value obtained for the mass density is 6.17 g/cm3.

Copy entry 2 word for word.
# Ba2CdReN4

Crystalline Ba2CdReN4 at its relaxed geometry (GGA-PBE, Alexandria).

Lattice parameters (Å, degrees): 5.6174 6.5676 10.5387 83.46 74.54 64.68
Fractional positions:
N: 0.8395 0.8078 0.9012
N: 0.5486 0.1922 0.0988
N: 0.2593 0.1922 0.9012
N: 0.4907 0.3078 0.5988
N: 0.3973 0.6922 0.4012
N: 0.9105 0.6922 0.5988
N: 0.2014 0.3078 0.4012
N: 0.3527 0.8078 0.0988
Re: 0.2500 0.5000 0.5000
Re: 0.5000 0.0000 0.0000
Ba: 0.9291 0.5000 0.1418
Ba: 0.1791 0.0000 0.6418
Ba: 0.8209 0.0000 0.3582
Ba: 0.5709 0.5000 0.8582
Cd: 0.7500 0.5000 0.5000
Cd: 0.0000 0.0000 0.0000

Results
For the electronic total energy, the calculation gives -6.40 eV per atom. The density of states at the Fermi level comes out at 3.398 states/eV per cell. The space group is Fddd, No. 70. The value obtained for the mass density is 6.17 g/cm3.

Which formula does entry 1 have?
AcHo6Er